#A
Material: GdPaRu2
Method: DFT, PBE-GGA
State: relaxed

Summary:
Space group   R-3m, No. 166
N(E_F)   2.2 states/eV/cell

a b c (Å): 7.220 7.220 7.220
angles (deg): 30.67 30.67 30.67
Sites, in units of the cell vectors:
1 Gd 0.000 0.000 0.000
2 Pa 0.500 0.500 0.500
3 Ru 0.244 0.244 0.244
4 Ru 0.756 0.756 0.756

#B
Material: GdPaRu2
Method: DFT, PBE-GGA
State: relaxed

Summary:
Space group   Fm-3m, No. 225
N(E_F)   3.5 states/eV/cell

a b c (Å): 4.853 4.853 4.853
angles (deg): 60.00 60.00 60.00
Sites, in units of the cell vectors:
1 Gd 0.000 0.000 0.000
2 Pa 0.500 0.500 0.500
3 Ru 0.250 0.250 0.250
4 Ru 0.750 0.750 0.750

Stability summary - winner: #B; margin: 112 meV/atom.

#A
Material: GdPaSb2
Method: DFT, PBE-GGA
State: relaxed

Summary:
Space group   Fm-3m, No. 225
N(E_F)   2.7 states/eV/cell

a b c (Å): 5.333 5.333 5.333
angles (deg): 60.00 60.00 60.00
Sites, in units of the cell vectors:
1 Gd 0.000 0.000 0.000
2 Pa 0.500 0.500 0.500
3 Sb 0.250 0.250 0.250
4 Sb 0.750 0.750 0.750

#B
Material: GdPaSb2
Method: DFT, PBE-GGA
State: relaxed

Summary:
Space group   P4/mmm, No. 123
N(E_F)   4.1 states/eV/cell

a b c (Å): 3.782 3.782 7.527
angles (deg): 90.00 90.00 90.00
Sites, in units of the cell vectors:
1 Gd 0.000 0.000 0.000
2 Pa 0.000 0.000 0.500
3 Sb 0.500 0.500 0.259
4 Sb 0.500 0.500 0.741

Stability summary - winner: #B; margin: 12 meV/atom.

#A
Material: GdPaSb
Method: DFT, PBE-GGA
State: relaxed

Summary:
Space group   P3m1, No. 156
N(E_F)   5.4 states/eV/cell

a b c (Å): 5.247 5.247 3.204
angles (deg): 90.00 90.00 120.00
Sites, in units of the cell vectors:
1 Gd 0.000 0.000 0.000
2 Pa 0.333 0.667 0.997
3 Sb 0.667 0.333 0.498

#B
Material: GdPaSb
Method: DFT, PBE-GGA
State: relaxed

Summary:
Space group   I4mm, No. 107
N(E_F)   5.5 states/eV/cell

a b c (Å): 6.005 6.005 6.005
angles (deg): 141.54 141.54 55.52
Sites, in units of the cell vectors:
1 Gd 0.000 0.000 0.000
2 Pa 0.300 0.300 0.000
3 Sb 0.647 0.647 0.000

Stability summary - winner: #B; margin: 352 meV/atom.

#A
Material: Gd2ScPa
Method: DFT, PBE-GGA
State: relaxed

Summary:
Space group   R-3m, No. 166
N(E_F)   7.0 states/eV/cell

a b c (Å): 12.087 12.087 12.087
angles (deg): 15.58 15.58 15.58
Sites, in units of the cell vectors:
1 Gd 0.088 0.088 0.088
2 Gd 0.912 0.912 0.912
3 Sc 0.500 0.500 0.500
4 Pa 0.000 0.000 0.000

#B
Material: Gd2ScPa
Method: DFT, PBE-GGA
State: relaxed

Summary:
Space group   P4/mmm, No. 123
N(E_F)   6.3 states/eV/cell

a b c (Å): 4.816 4.816 4.806
angles (deg): 90.00 90.00 90.00
Sites, in units of the cell vectors:
1 Gd 0.000 0.500 0.000
2 Gd 0.500 0.000 0.000
3 Sc 0.000 0.000 0.500
4 Pa 0.500 0.500 0.500

#C
Material: Gd2ScPa
Method: DFT, PBE-GGA
State: relaxed

Summary:
Space group   P4/mmm, No. 123
N(E_F)   7.7 states/eV/cell

a b c (Å): 3.359 3.359 9.914
angles (deg): 90.00 90.00 90.00
Sites, in units of the cell vectors:
1 Gd 0.000 0.000 0.243
2 Gd 0.000 0.000 0.757
3 Sc 0.500 0.500 0.500
4 Pa 0.500 0.500 0.000

Stability summary - winner: #C; margin: 74 meV/atom.

#A
Material: SmGdPa
Method: DFT, PBE-GGA
State: relaxed

Summary:
Space group   P3m1, No. 156
N(E_F)   4.7 states/eV/cell

a b c (Å): 3.446 3.446 8.652
angles (deg): 90.00 90.00 120.00
Sites, in units of the cell vectors:
1 Sm 0.000 0.000 0.000
2 Gd 0.667 0.333 0.367
3 Pa 0.333 0.667 0.681

#B
Material: SmGdPa
Method: DFT, PBE-GGA
State: relaxed

Summary:
Space group   I4mm, No. 107
N(E_F)   4.8 states/eV/cell

a b c (Å): 8.087 8.087 8.087
angles (deg): 155.67 155.67 34.68
Sites, in units of the cell vectors:
1 Sm 0.000 0.000 0.000
2 Gd 0.309 0.309 0.000
3 Pa 0.656 0.656 0.000

Stability summary - winner: #A; margin: 15 meV/atom.

#A
Material: Sm2GdPa
Method: DFT, PBE-GGA
State: relaxed

Summary:
Space group   P4/mmm, No. 123
N(E_F)   6.0 states/eV/cell

a b c (Å): 3.433 3.433 10.431
angles (deg): 90.00 90.00 90.00
Sites, in units of the cell vectors:
1 Sm 0.000 0.000 0.230
2 Sm 0.000 0.000 0.770
3 Gd 0.500 0.500 0.500
4 Pa 0.500 0.500 0.000

#B
Material: Sm2GdPa
Method: DFT, PBE-GGA
State: relaxed

Summary:
Space group   P4/mmm, No. 123
N(E_F)   6.0 states/eV/cell

a b c (Å): 4.970 4.970 4.969
angles (deg): 90.00 90.00 90.00
Sites, in units of the cell vectors:
1 Sm 0.000 0.500 0.000
2 Sm 0.500 0.000 0.000
3 Gd 0.000 0.000 0.500
4 Pa 0.500 0.500 0.500

Stability summary - winner: #A; margin: 103 meV/atom.

#A
Material: Gd2PaSn
Method: DFT, PBE-GGA
State: relaxed

Summary:
Space group   Fm-3m, No. 225
N(E_F)   7.5 states/eV/cell

a b c (Å): 5.372 5.372 5.372
angles (deg): 60.00 60.00 60.00
Sites, in units of the cell vectors:
1 Gd 0.250 0.250 0.250
2 Gd 0.750 0.750 0.750
3 Pa 0.000 0.000 0.000
4 Sn 0.500 0.500 0.500

#B
Material: Gd2PaSn
Method: DFT, PBE-GGA
State: relaxed

Summary:
Space group   P4/mmm, No. 123
N(E_F)   6.3 states/eV/cell

a b c (Å): 4.836 4.836 4.595
angles (deg): 90.00 90.00 90.00
Sites, in units of the cell vectors:
1 Gd 0.000 0.500 0.000
2 Gd 0.500 0.000 0.000
3 Pa 0.000 0.000 0.500
4 Sn 0.500 0.500 0.500

Stability summary - winner: #B; margin: 201 meV/atom.

#A
Material: GdThPa
Method: DFT, PBE-GGA
State: relaxed

Summary:
Space group   P-6m2, No. 187
N(E_F)   6.5 states/eV/cell

a b c (Å): 5.507 5.507 3.353
angles (deg): 90.00 90.00 120.00
Sites, in units of the cell vectors:
1 Gd 0.000 0.000 0.000
2 Th 0.667 0.333 0.500
3 Pa 0.333 0.667 0.000

#B
Material: GdThPa
Method: DFT, PBE-GGA
State: relaxed

Summary:
Space group   I4mm, No. 107
N(E_F)   6.2 states/eV/cell

a b c (Å): 8.051 8.051 8.051
angles (deg): 155.73 155.73 34.60
Sites, in units of the cell vectors:
1 Gd 0.000 0.000 0.000
2 Th 0.681 0.681 0.000
3 Pa 0.339 0.339 0.000

Stability summary - winner: #B; margin: 108 meV/atom.

#A
Material: GdPaTl2
Method: DFT, PBE-GGA
State: relaxed

Summary:
Space group   P4/mmm, No. 123
N(E_F)   6.3 states/eV/cell

a b c (Å): 3.396 3.396 9.294
angles (deg): 90.00 90.00 90.00
Sites, in units of the cell vectors:
1 Gd 0.000 0.000 0.000
2 Pa 0.000 0.000 0.500
3 Tl 0.500 0.500 0.249
4 Tl 0.500 0.500 0.751

#B
Material: GdPaTl2
Method: DFT, PBE-GGA
State: relaxed

Summary:
Space group   P4/mmm, No. 123
N(E_F)   6.0 states/eV/cell

a b c (Å): 4.915 4.915 4.533
angles (deg): 90.00 90.00 90.00
Sites, in units of the cell vectors:
1 Gd 0.000 0.000 0.000
2 Pa 0.500 0.500 0.000
3 Tl 0.000 0.500 0.500
4 Tl 0.500 0.000 0.500

Stability summary - winner: #A; margin: 58 meV/atom.

#A
Material: Gd2TmPa
Method: DFT, PBE-GGA
State: relaxed

Summary:
Space group   Fm-3m, No. 225
N(E_F)   5.8 states/eV/cell

a b c (Å): 5.564 5.564 5.564
angles (deg): 60.00 60.00 60.00
Sites, in units of the cell vectors:
1 Gd 0.250 0.250 0.250
2 Gd 0.750 0.750 0.750
3 Tm 0.000 0.000 0.000
4 Pa 0.500 0.500 0.500

#B
Material: Gd2TmPa
Method: DFT, PBE-GGA
State: relaxed

Summary:
Space group   R-3m, No. 166
N(E_F)   6.4 states/eV/cell

a b c (Å): 12.321 12.321 12.321
angles (deg): 15.52 15.52 15.52
Sites, in units of the cell vectors:
1 Gd 0.087 0.087 0.087
2 Gd 0.913 0.913 0.913
3 Tm 0.500 0.500 0.500
4 Pa 0.000 0.000 0.000

Stability summary - winner: #B; margin: 43 meV/atom.

#A
Material: PmGdPb
Method: DFT, PBE-GGA
State: relaxed

Summary:
Space group   I4mm, No. 107
N(E_F)   3.0 states/eV/cell

a b c (Å): 5.952 5.952 5.952
angles (deg): 138.88 138.88 59.56
Sites, in units of the cell vectors:
1 Pm 0.000 0.000 0.000
2 Gd 0.312 0.312 0.000
3 Pb 0.658 0.658 0.000

#B
Material: PmGdPb
Method: DFT, PBE-GGA
State: relaxed

Summary:
Space group   F-43m, No. 216
N(E_F)   5.4 states/eV/cell

a b c (Å): 5.291 5.291 5.291
angles (deg): 60.00 60.00 60.00
Sites, in units of the cell vectors:
1 Pm 0.000 0.000 0.000
2 Gd 0.500 0.500 0.500
3 Pb 0.250 0.250 0.250

Stability summary - winner: #A; margin: 93 meV/atom.

#A
Material: PrGdPb2
Method: DFT, PBE-GGA
State: relaxed

Summary:
Space group   P4/mmm, No. 123
N(E_F)   3.4 states/eV/cell

a b c (Å): 3.584 3.584 9.209
angles (deg): 90.00 90.00 90.00
Sites, in units of the cell vectors:
1 Pr 0.000 0.000 0.000
2 Gd 0.000 0.000 0.500
3 Pb 0.500 0.500 0.256
4 Pb 0.500 0.500 0.744

#B
Material: PrGdPb2
Method: DFT, PBE-GGA
State: relaxed

Summary:
Space group   Fm-3m, No. 225
N(E_F)   5.3 states/eV/cell

a b c (Å): 5.565 5.565 5.565
angles (deg): 60.00 60.00 60.00
Sites, in units of the cell vectors:
1 Pr 0.000 0.000 0.000
2 Gd 0.500 0.500 0.500
3 Pb 0.250 0.250 0.250
4 Pb 0.750 0.750 0.750

Stability summary - winner: #A; margin: 88 meV/atom.